Density functional theory data (PBE-GGA) for HoNpGa2 after structural relaxation.

Properties
total energy	-0.2184	Ha/atom
energy above the most stable polymorph in this dataset	174	meV per atom
E_form	-20	kJ/mol of formula units

Cell: 3.4584 3.4584 27.5657 Å, 90.00 90.00 120.00°
Space group R-3m (No. 166, hexagonal axes)
Inequivalent atoms, fractional coordinates:
Ho 0.0000 0.0000 0.0000 x3
Np 0.0000 0.0000 0.5000 x3
Ga 0.0000 0.0000 0.2513 x6

=====

Density functional theory data (PBE-GGA) for Ho3NpGa12 after structural relaxation.

Properties
total energy	-0.1612	Ha/atom
E_form	-692	kJ/mol of formula units

Cell: 4.248 4.248 17.114 Å, 90.00 90.00 90.00°
Space group P4/mmm (No. 123)
Inequivalent atoms, fractional coordinates:
Ho 0.000 0.000 0.000 x1
Ho 0.000 0.000 0.249 x2
Np 0.000 0.000 0.500 x1
Ga 0.000 0.500 0.125 x4
Ga 0.000 0.500 0.376 x4
Ga 0.500 0.500 0.000 x1
Ga 0.500 0.500 0.251 x2
Ga 0.500 0.500 0.500 x1

=====

Density functional theory data (PBE-GGA) for HoNp3Ga12 after structural relaxation.

Properties
total energy	-0.1936	Ha/atom
E_form	-440	kJ/mol of formula units

Cell: 4.253 4.253 17.122 Å, 90.00 90.00 90.00°
Space group P4/mmm (No. 123)
Inequivalent atoms, fractional coordinates:
Ho 0.000 0.000 0.000 x1
Np 0.000 0.000 0.249 x2
Np 0.000 0.000 0.500 x1
Ga 0.000 0.500 0.126 x4
Ga 0.000 0.500 0.375 x4
Ga 0.500 0.500 0.000 x1
Ga 0.500 0.500 0.251 x2
Ga 0.500 0.500 0.500 x1

=====

Density functional theory data (PBE-GGA) for HoNpGa2O8 after structural relaxation.

Properties
energy relative to the elements, uncorrected	-2.303	eV/atom
total energy	-0.2783	Ha/atom

Cell: 6.898 6.898 6.613 Å, 90.00 90.00 90.00°
Space group I-4m2 (No. 119)
Inequivalent atoms, fractional coordinates:
Ho 0.000 0.000 0.000 x2
Np 0.000 0.500 0.250 x2
Ga 0.000 0.000 0.500 x2
Ga 0.000 0.500 0.750 x2
O 0.000 0.198 0.310 x8
O 0.000 0.321 0.956 x8

=====

Density functional theory data (PBE-GGA) for HoGaO3 after structural relaxation.

Properties
energy relative to the elements, uncorrected	-2.702	eV/atom
total energy	-0.2645	Ha/atom

Cell: 5.520 3.512 7.728 Å, 90.00 108.37 90.00°
Space group P2_1/m (No. 11)
Inequivalent atoms, fractional coordinates:
Ho 0.201 0.250 0.398 x2
Ga 0.387 0.250 0.841 x2
O 0.061 0.250 0.644 x2
O 0.321 0.750 0.925 x2
O 0.445 0.750 0.342 x2

=====

Density functional theory data (PBE-GGA) for Ho12Ga3O5 after structural relaxation.

Properties
energy relative to the elements, uncorrected	-1.603	eV/atom
total energy	-0.2221	Ha/atom

Cell: 15.199 15.199 15.199 Å, 90.00 90.00 90.00°
Space group Ia-3d (No. 230)
Inequivalent atoms, fractional coordinates:
Ho 0.037 0.053 0.650 x96
Ga 0.000 0.250 0.125 x24
O 0.000 0.000 0.000 x16
O 0.000 0.250 0.375 x24

=====

Density functional theory data (PBE-GGA) for HoGaO2 after structural relaxation.

Properties
energy relative to the elements, uncorrected	-2.355	eV/atom
total energy	-0.2475	Ha/atom

Cell: 3.4361 3.4361 19.4027 Å, 90.00 90.00 120.00°
Space group R-3m (No. 166, hexagonal axes)
Inequivalent atoms, fractional coordinates:
Ho 0.0000 0.0000 0.0000 x3
Ga 0.0000 0.0000 0.5000 x3
O 0.0000 0.0000 0.3906 x6

=====

Density functional theory data (PBE-GGA) for Ho4Ga2O after structural relaxation.

Properties
energy relative to the elements, uncorrected	-1.179	eV/atom
total energy	-0.1973	Ha/atom
energy above the most stable polymorph in this dataset	0	meV per atom

Cell: 6.309 6.699 8.434 Å, 90.00 109.38 90.00°
Space group P2_1/m (No. 11)
Inequivalent atoms, fractional coordinates:
Ho 0.017 0.002 0.265 x4
Ho 0.398 0.750 0.071 x2
Ho 0.436 0.750 0.638 x2
Ga 0.195 0.250 0.035 x2
Ga 0.271 0.250 0.575 x2
O 0.225 0.750 0.800 x2

=====

Density functional theory data (PBE-GGA) for Ho3GaO after structural relaxation.

Properties
energy relative to the elements, uncorrected	-1.321	eV/atom
total energy	-0.2082	Ha/atom

Cell: 6.683 6.286 10.474 Å, 90.00 96.48 90.00°
Space group P2_1/c (No. 14)
Inequivalent atoms, fractional coordinates:
Ho 0.084 0.049 0.154 x4
Ho 0.216 0.549 0.072 x4
Ho 0.378 0.162 0.882 x4
Ga 0.376 0.701 0.840 x4
O 0.074 0.240 0.967 x4

=====

Density functional theory data (PBE-GGA) for HoGa2O4 after structural relaxation.

Properties
energy relative to the elements, uncorrected	-2.069	eV/atom
total energy	-0.2360	Ha/atom

Cell: 4.525 4.525 5.299 Å, 90.00 90.00 90.00°
Space group P-42m (No. 111)
Inequivalent atoms, fractional coordinates:
Ho 0.000 0.000 0.000 x1
Ga 0.000 0.500 0.500 x2
O 0.242 0.242 0.292 x4

=====

Density functional theory data (PBE-GGA) for Ho4Ga2O after structural relaxation.

Properties
energy relative to the elements, uncorrected	-1.171	eV/atom
total energy	-0.1970	Ha/atom
energy above the most stable polymorph in this dataset	8	meV per atom

Cell: 4.523 4.523 15.613 Å, 90.00 90.00 90.00°
Space group I4/mmm (No. 139)
Inequivalent atoms, fractional coordinates:
Ho 0.000 0.000 0.176 x4
Ho 0.000 0.500 0.000 x4
Ga 0.000 0.000 0.364 x4
O 0.000 0.000 0.000 x2

=====

Density functional theory data (PBE-GGA) for Ho3GaO6 after structural relaxation.

Properties
energy relative to the elements, uncorrected	-3.190	eV/atom
total energy	-0.2882	Ha/atom

Cell: 8.870 11.116 5.413 Å, 90.00 90.00 90.00°
Space group Cmc2_1 (No. 36)
Inequivalent atoms, fractional coordinates:
Ho 0.000 0.102 0.000 x4
Ho 0.193 0.394 0.048 x8
Ga 0.000 0.307 0.579 x4
O 0.000 0.284 0.239 x4
O 0.000 0.461 0.724 x4
O 0.159 0.235 0.759 x8
O 0.160 0.017 0.275 x8